1.
The following is a GGA-PBE calculation of a relaxed structure of Ce2PaP3, from Alexandria. Values from VASP.

```
&SYSTEM
  ibrav = 0, nat = 12, ntyp = 3
/
ATOMIC_SPECIES
Ce 140.12 Ce.upf
Pa 231.04 Pa.upf
P 30.97 P.upf
CELL_PARAMETERS angstrom
-3.942 -2.912 -2.924
4.648 -6.591 0.300
-1.843 1.471 6.589
ATOMIC_POSITIONS crystal
Ce 0.668 0.584 0.336
Ce 0.668 0.084 0.336
Ce 0.332 0.916 0.664
Ce 0.332 0.416 0.664
Pa 0.000 0.750 0.000
Pa 0.000 0.250 0.000
P 0.500 0.250 0.000
P 0.500 0.750 0.000
P 0.161 0.080 0.322
P 0.839 0.420 0.678
P 0.161 0.580 0.322
P 0.839 0.920 0.678
```

V (Å³/atom): 23.27
Crystal system: orthorhombic
DFT formation energy (kcal/mol of atoms): -33.25

2.
The following is a GGA-PBE calculation of a relaxed structure of OsICl2, from Alexandria. Values from VASP.

```
&SYSTEM
  ibrav = 0, nat = 4, ntyp = 3
/
ATOMIC_SPECIES
I 126.90 I.upf
Os 190.23 Os.upf
Cl 35.45 Cl.upf
CELL_PARAMETERS angstrom
1.786 0.000 12.711
-0.893 1.547 12.711
-0.893 -1.547 12.711
ATOMIC_POSITIONS crystal
I 0.500 0.500 0.500
Os 0.000 0.000 0.000
Cl 0.942 0.942 0.942
Cl 0.058 0.058 0.058
```

V (Å³/atom): 26.34
Crystal system: trigonal
Formation energy without anion corrections (eV/atom): 0.33

3.
The following is a GGA-PBE calculation of a relaxed structure of K2CoPt, from Alexandria. Values from VASP.

```
&SYSTEM
  ibrav = 0, nat = 4, ntyp = 3
/
ATOMIC_SPECIES
Co 58.93 Co.upf
K 39.10 K.upf
Pt 195.08 Pt.upf
CELL_PARAMETERS angstrom
4.049 0.000 0.000
0.000 2.945 0.020
0.000 1.053 9.759
ATOMIC_POSITIONS crystal
Co 0.500 0.961 0.647
K 0.000 0.944 0.908
K 0.500 0.108 0.343
Pt 0.000 0.487 0.601
```

V (Å³/atom): 29.07
Crystal system: monoclinic
DFT formation energy (kcal/mol of atoms): 6.65

4.
The following is a GGA-PBE calculation of a relaxed structure of Dy2AsS, from Alexandria. Values from VASP.

```
&SYSTEM
  ibrav = 0, nat = 4, ntyp = 3
/
ATOMIC_SPECIES
Dy 162.50 Dy.upf
As 74.92 As.upf
S 32.06 S.upf
CELL_PARAMETERS angstrom
3.951 0.000 0.000
1.975 3.421 0.000
1.975 1.140 6.951
ATOMIC_POSITIONS crystal
Dy 0.080 0.080 0.761
Dy 0.254 0.254 0.239
As 0.668 0.668 0.996
S 0.498 0.498 0.505
```

V (Å³/atom): 23.49
Crystal system: trigonal
Formation energy without anion corrections (eV/atom): -1.68